Record 1
DFT (PBE) results for a relaxed structure of RbCuO2.

a = 4.334 Å, b = 4.334 Å, c = 6.988 Å
α = 121.43°, β = 121.43°, γ = 39.18°
Element x y z (fractional)
Rb: 0.000 0.000 0.000
Cu: 0.000 0.000 0.500
O: 0.423 0.423 0.297
O: 0.577 0.577 0.703

***

Record 2
DFT (PBE) results for a relaxed structure of RbCu2O2.

a = 6.586 Å, b = 6.586 Å, c = 6.586 Å
α = 124.27°, β = 124.27°, γ = 82.75°
Element x y z (fractional)
Rb: 0.375 0.625 0.750
Rb: 0.625 0.375 0.250
Cu: 0.000 0.000 0.000
Cu: 0.000 0.000 0.500
Cu: 0.000 0.500 0.000
Cu: 0.500 0.000 0.500
O: 0.091 0.341 0.750
O: 0.341 0.091 0.250
O: 0.659 0.909 0.750
O: 0.909 0.659 0.250

***

Record 3
DFT (PBE) results for a relaxed structure of Rb3Cu2O4.

a = 7.728 Å, b = 7.728 Å, c = 5.870 Å
α = 93.46°, β = 93.46°, γ = 73.24°
Element x y z (fractional)
Rb: 0.098 0.902 0.750
Rb: 0.237 0.511 0.449
Rb: 0.489 0.763 0.051
Rb: 0.511 0.237 0.949
Rb: 0.763 0.489 0.551
Rb: 0.902 0.098 0.250
Cu: 0.090 0.328 0.935
Cu: 0.328 0.090 0.435
Cu: 0.672 0.910 0.565
Cu: 0.910 0.672 0.065
O: 0.134 0.230 0.627
O: 0.157 0.560 0.970
O: 0.230 0.134 0.127
O: 0.440 0.843 0.530
O: 0.560 0.157 0.470
O: 0.770 0.866 0.873
O: 0.843 0.440 0.030
O: 0.866 0.770 0.373

***

Record 4
DFT (PBE) results for a relaxed structure of Rb2Cu2O3.

a = 6.199 Å, b = 6.199 Å, c = 5.880 Å
α = 116.22°, β = 116.22°, γ = 37.81°
Element x y z (fractional)
Rb: 0.099 0.099 0.326
Rb: 0.901 0.901 0.674
Cu: 0.344 0.344 0.178
Cu: 0.656 0.656 0.822
O: 0.181 0.181 0.869
O: 0.500 0.500 0.500
O: 0.819 0.819 0.131

***

Record 5
DFT (PBE) results for a relaxed structure of RbCuO2.

a = 4.358 Å, b = 4.358 Å, c = 4.358 Å
α = 60.00°, β = 60.00°, γ = 60.00°
Element x y z (fractional)
Rb: 0.000 0.000 0.000
Cu: 0.500 0.500 0.500
O: 0.250 0.250 0.250
O: 0.750 0.750 0.750

***

Record 6
DFT (PBE) results for a relaxed structure of RbCu3O3.

a = 9.313 Å, b = 9.313 Å, c = 3.121 Å
α = 90.00°, β = 90.00°, γ = 120.00°
Element x y z (fractional)
Rb: 0.333 0.667 0.250
Rb: 0.667 0.333 0.750
Cu: 0.001 0.274 0.750
Cu: 0.273 0.999 0.750
Cu: 0.274 0.273 0.250
Cu: 0.726 0.727 0.750
Cu: 0.727 0.001 0.250
Cu: 0.999 0.726 0.250
O: 0.135 0.767 0.750
O: 0.233 0.368 0.750
O: 0.368 0.135 0.250
O: 0.632 0.865 0.750
O: 0.767 0.632 0.250
O: 0.865 0.233 0.250

***

Record 7
DFT (PBE) results for a relaxed structure of Rb2CuO2.

a = 8.154 Å, b = 8.154 Å, c = 3.179 Å
α = 90.00°, β = 90.00°, γ = 90.00°
Element x y z (fractional)
Rb: 0.138 0.362 0.000
Rb: 0.362 0.862 0.000
Rb: 0.638 0.138 0.000
Rb: 0.862 0.638 0.000
Cu: 0.000 0.000 0.000
Cu: 0.500 0.500 0.000
O: 0.165 0.665 0.500
O: 0.335 0.165 0.500
O: 0.665 0.835 0.500
O: 0.835 0.335 0.500

***

Record 8
DFT (PBE) results for a relaxed structure of Rb2CuReO6.

a = 6.219 Å, b = 6.219 Å, c = 5.106 Å
α = 90.00°, β = 90.00°, γ = 120.00°
Element x y z (fractional)
Rb: 0.333 0.667 0.209
Rb: 0.667 0.333 0.791
Cu: 0.000 0.000 0.000
Re: 0.000 0.000 0.500
O: 0.140 0.280 0.729
O: 0.140 0.860 0.729
O: 0.280 0.140 0.271
O: 0.720 0.860 0.729
O: 0.860 0.140 0.271
O: 0.860 0.720 0.271

***

Record 9
DFT (PBE) results for a relaxed structure of RbCuRhO2.

a = 7.003 Å, b = 7.003 Å, c = 4.606 Å
α = 90.00°, β = 90.00°, γ = 133.41°
Element x y z (fractional)
Rb: 0.250 0.750 0.754
Rb: 0.750 0.250 0.246
Cu: 0.000 0.000 0.000
Cu: 0.500 0.500 0.000
Rh: 0.250 0.250 0.500
Rh: 0.750 0.750 0.500
O: 0.109 0.891 0.269
O: 0.391 0.609 0.269
O: 0.609 0.391 0.731
O: 0.891 0.109 0.731

***

Record 10
DFT (PBE) results for a relaxed structure of Rb2CuRhO4.

a = 11.786 Å, b = 10.427 Å, c = 6.626 Å
α = 84.31°, β = 61.68°, γ = 34.01°
Element x y z (fractional)
Rb: 0.050 0.050 0.700
Rb: 0.300 0.300 0.950
Rb: 0.700 0.700 0.050
Rb: 0.950 0.950 0.300
Cu: 0.125 0.125 0.125
Cu: 0.875 0.875 0.875
Rh: 0.375 0.375 0.375
Rh: 0.625 0.625 0.625
O: 0.002 0.342 0.427
O: 0.271 0.573 0.658
O: 0.342 0.002 0.729
O: 0.427 0.729 0.002
O: 0.573 0.271 0.998
O: 0.658 0.998 0.271
O: 0.729 0.427 0.342
O: 0.998 0.658 0.573

***

Record 11
DFT (PBE) results for a relaxed structure of RbCu2Rh2O6.

a = 5.519 Å, b = 5.718 Å, c = 6.344 Å
α = 64.70°, β = 89.83°, γ = 62.07°
Element x y z (fractional)
Rb: 0.000 0.000 0.000
Cu: 0.281 0.274 0.465
Cu: 0.719 0.726 0.535
Rh: 0.334 0.336 0.987
Rh: 0.666 0.664 0.013
O: 0.065 0.297 0.212
O: 0.364 0.120 0.791
O: 0.456 0.453 0.207
O: 0.544 0.547 0.793
O: 0.636 0.880 0.209
O: 0.935 0.703 0.788

***

Record 12
DFT (PBE) results for a relaxed structure of Rb2Cu2RhO6.

a = 6.847 Å, b = 6.847 Å, c = 6.847 Å
α = 50.11°, β = 50.11°, γ = 50.11°
Element x y z (fractional)
Rb: 0.210 0.210 0.210
Rb: 0.790 0.790 0.790
Cu: 0.391 0.391 0.391
Cu: 0.609 0.609 0.609
Rh: 0.000 0.000 0.000
O: 0.223 0.223 0.758
O: 0.223 0.758 0.223
O: 0.242 0.777 0.777
O: 0.758 0.223 0.223
O: 0.777 0.242 0.777
O: 0.777 0.777 0.242

***

| no. | ΔE_f (raw) (meV/atom) |
| --- | --- |
| 1 | -871 |
| 2 | -780 |
| 3 | -849 |
| 4 | -857 |
| 5 | 255 |
| 6 | -661 |
| 7 | 100 |
| 8 | -1278 |
| 9 | -523 |
| 10 | -774 |
| 11 | -584 |
| 12 | -809 |